Material: Pu3SnGe
Method: DFT, PBE-GGA
State: relaxed

The calculation puts the density of states at the Fermi level at 3.611 states/eV per atom. As for the energy relative to the lowest polymorph listed for this composition: 0.00 eV per formula unit. Its calculated total energy is -158.555 eV/cell. The value obtained for the volume is 379.4 Å³/cell.

Lattice parameters (Å, degrees): 7.2393 7.2393 7.2393 90.00 90.00 90.00
Space group Pm-3m (No. 221)
Symmetry-distinct sites (fractional):
Pu 0.0000 0.0000 0.0000 (multiplicity 1)
Pu 0.2751 0.2751 0.2751 (multiplicity 8)
Sn 0.0000 0.0000 0.5000 (multiplicity 3)
Ge 0.0000 0.5000 0.5000 (multiplicity 3)

=====

Material: PmPrAgGe
Method: DFT, PBE-GGA
State: relaxed

The calculation puts the density of states at the Fermi level at 1.056 states/eV per atom. Its calculated total energy is -76.211 eV/cell. The value obtained for the volume is 410.1 Å³/cell.

Lattice parameters (Å, degrees): 7.4294 7.4294 7.4294 90.00 90.00 90.00
Space group F-43m (No. 216)
Symmetry-distinct sites (fractional):
Pm 0.0000 0.0000 0.0000 (multiplicity 4)
Pr 0.0000 0.0000 0.5000 (multiplicity 4)
Ag 0.2500 0.2500 0.2500 (multiplicity 4)
Ge 0.2500 0.2500 0.7500 (multiplicity 4)

=====

Material: PmDyErAl
Method: DFT, PBE-GGA
State: relaxed

The calculation puts the density of states at the Fermi level at 1.670 states/eV per atom. As for the energy relative to the lowest polymorph listed for this composition: 0.53 eV per formula unit. Its calculated total energy is -71.639 eV/cell. The value obtained for the volume is 439.1 Å³/cell.

Lattice parameters (Å, degrees): 7.6005 7.6005 7.6005 90.00 90.00 90.00
Space group F-43m (No. 216)
Symmetry-distinct sites (fractional):
Pm 0.0000 0.0000 0.0000 (multiplicity 4)
Dy 0.0000 0.0000 0.5000 (multiplicity 4)
Er 0.2500 0.2500 0.2500 (multiplicity 4)
Al 0.2500 0.2500 0.7500 (multiplicity 4)

=====

Number 1: ΔH_f (0 K) -0.247 eV per atom. Number 2: ΔH_f (0 K) -0.514 eV per atom. Number 3: ΔH_f (0 K) -0.063 eV per atom.